Below is a geometry-optimized CaLa3Ir structure, with properties calculated at the GGA-PBEsol level.

The structure in CIF format:
```
data_CaLa3Ir
_chemical_formula_sum 'Ca2 La6 Ir2'
_symmetry_space_group_name_H-M 'P 1'
_symmetry_Int_Tables_number 1
_symmetry_space_group_name_Hall 'P 1'
_cell_length_a 6.7719
_cell_length_b 6.9983
_cell_length_c 7.7151
_cell_angle_alpha 86.42
_cell_angle_beta 69.76
_cell_angle_gamma 79.07
loop_
_atom_site_label
_atom_site_type_symbol
_atom_site_fract_x
_atom_site_fract_y
_atom_site_fract_z
Ca1 Ca 0.7479 0.1073 0.1788
Ca2 Ca 0.2521 0.8927 0.8212
Ir1 Ir 0.0003 0.2620 0.3484
Ir2 Ir 0.9997 0.7380 0.6516
La1 La 0.7592 0.1129 0.6890
La2 La 0.7392 0.6024 0.9794
La3 La 0.2557 0.3759 0.5392
La4 La 0.2408 0.8871 0.3110
La5 La 0.2608 0.3976 0.0206
La6 La 0.7443 0.6241 0.4608
```

Summary:
calculated total energy	-58.9	eV per cell
offset from the most stable computed form	0	meV/atom
crystal system	triclinic
E_form	-290	meV/atom
SG	P-1

---

Below is a geometry-optimized CaMgSn structure, with properties calculated at the GGA-PBEsol level.

The structure in CIF format:
```
data_CaMgSn
_chemical_formula_sum 'Ca4 Mg4 Sn4'
_symmetry_space_group_name_H-M 'P 1'
_symmetry_Int_Tables_number 1
_symmetry_space_group_name_Hall 'P 1'
_cell_length_a 4.6662
_cell_length_b 7.7685
_cell_length_c 8.7047
_cell_angle_alpha 90.00
_cell_angle_beta 90.00
_cell_angle_gamma 90.00
loop_
_atom_site_label
_atom_site_type_symbol
_atom_site_fract_x
_atom_site_fract_y
_atom_site_fract_z
Ca1 Ca 0.2500 0.5191 0.6844
Ca2 Ca 0.2500 0.0191 0.8156
Ca3 Ca 0.7500 0.4809 0.3156
Ca4 Ca 0.7500 0.9809 0.1844
Mg1 Mg 0.2500 0.1452 0.4367
Mg2 Mg 0.7500 0.8548 0.5633
Mg3 Mg 0.7500 0.3548 0.9367
Mg4 Mg 0.2500 0.6452 0.0633
Sn1 Sn 0.2500 0.2646 0.1161
Sn2 Sn 0.7500 0.7354 0.8839
Sn3 Sn 0.2500 0.7646 0.3839
Sn4 Sn 0.7500 0.2354 0.6161
```

Summary:
calculated total energy	-39.6	eV per cell
crystal system	orthorhombic
E_form	-594	meV/atom
SG	Pnma

---

Below is a geometry-optimized KCdRu structure, with properties calculated at the GGA-PBEsol level.

The structure in CIF format:
```
data_KCdRu
_chemical_formula_sum 'K1 Cd1 Ru1'
_symmetry_space_group_name_H-M 'P 1'
_symmetry_Int_Tables_number 1
_symmetry_space_group_name_Hall 'P 1'
_cell_length_a 4.7169
_cell_length_b 4.7169
_cell_length_c 4.7169
_cell_angle_alpha 60.00
_cell_angle_beta 60.00
_cell_angle_gamma 60.00
loop_
_atom_site_label
_atom_site_type_symbol
_atom_site_fract_x
_atom_site_fract_y
_atom_site_fract_z
Cd1 Cd 0.0000 0.0000 0.0000
K1 K 0.5000 0.5000 0.5000
Ru1 Ru 0.2500 0.2500 0.2500
```

Summary:
calculated total energy	-8.5	eV per cell
crystal system	cubic
E_form	1349	meV/atom
SG	F-43m

---

Below is a geometry-optimized Ti2Ge2Os structure, with properties calculated at the GGA-PBEsol level.

The structure in CIF format:
```
data_Ti2Ge2Os
_chemical_formula_sum 'Ti4 Ge4 Os2'
_symmetry_space_group_name_H-M 'P 1'
_symmetry_Int_Tables_number 1
_symmetry_space_group_name_Hall 'P 1'
_cell_length_a 3.7905
_cell_length_b 6.3219
_cell_length_c 6.3219
_cell_angle_alpha 90.00
_cell_angle_beta 90.00
_cell_angle_gamma 90.00
loop_
_atom_site_label
_atom_site_type_symbol
_atom_site_fract_x
_atom_site_fract_y
_atom_site_fract_z
Ge1 Ge 0.0000 0.3624 0.8624
Ge2 Ge 0.0000 0.8624 0.6376
Ge3 Ge 0.0000 0.6376 0.1376
Ge4 Ge 0.0000 0.1376 0.3624
Os1 Os 0.0000 0.0000 0.0000
Os2 Os 0.0000 0.5000 0.5000
Ti1 Ti 0.5000 0.1684 0.6684
Ti2 Ti 0.5000 0.6684 0.8316
Ti3 Ti 0.5000 0.8316 0.3316
Ti4 Ti 0.5000 0.3316 0.1684
```

Summary:
calculated total energy	-82.8	eV per cell
crystal system	tetragonal
E_form	-533	meV/atom
SG	P4/mbm

---

Below is a geometry-optimized ZnInSbI2 structure, with properties calculated at the GGA-PBEsol level.

The structure in CIF format:
```
data_ZnInSbI2
_chemical_formula_sum 'Zn1 In1 Sb1 I2'
_symmetry_space_group_name_H-M 'P 1'
_symmetry_Int_Tables_number 1
_symmetry_space_group_name_Hall 'P 1'
_cell_length_a 5.1573
_cell_length_b 5.5830
_cell_length_c 5.5830
_cell_angle_alpha 90.00
_cell_angle_beta 90.00
_cell_angle_gamma 90.00
loop_
_atom_site_label
_atom_site_type_symbol
_atom_site_fract_x
_atom_site_fract_y
_atom_site_fract_z
I1 I 0.0000 0.0000 0.5000
I2 I 0.0000 0.5000 0.0000
Sb1 Sb 0.5000 0.0000 0.0000
Zn1 Zn 0.0000 0.0000 0.0000
In1 In 0.5000 0.5000 0.5000
```

Summary:
calculated total energy	-12.1	eV per cell
crystal system	tetragonal
SG	P4/mmm
ΔE_f (raw)	10.19	kJ/mol of atoms

---

Below is a geometry-optimized Ba3MnCr structure, with properties calculated at the GGA-PBEsol level.

The structure in CIF format:
```
data_Ba3MnCr
_chemical_formula_sum 'Ba3 Mn1 Cr1'
_symmetry_space_group_name_H-M 'P 1'
_symmetry_Int_Tables_number 1
_symmetry_space_group_name_Hall 'P 1'
_cell_length_a 5.9915
_cell_length_b 5.9915
_cell_length_c 5.9915
_cell_angle_alpha 90.00
_cell_angle_beta 90.00
_cell_angle_gamma 90.00
loop_
_atom_site_label
_atom_site_type_symbol
_atom_site_fract_x
_atom_site_fract_y
_atom_site_fract_z
Cr1 Cr 0.0000 0.0000 0.0000
Mn1 Mn 0.5000 0.5000 0.5000
Ba1 Ba 0.0000 0.5000 0.0000
Ba2 Ba 0.0000 0.0000 0.5000
Ba3 Ba 0.5000 0.0000 0.0000
```

Summary:
calculated total energy	-21.1	eV per cell
crystal system	cubic
E_form	1073	meV/atom
SG	Pm-3m